Entry 1:
VASP calculation (PBE-GGA) on crystalline La2WBr at its relaxed geometry.

extended XYZ file:
```
4
Lattice="-1.6883 1.9284 8.8071 1.6883 -1.9284 8.8071 1.6883 1.9284 -8.8071" Properties=species:S:1:pos:R:3 pbc="T T T"
La 0.0000 0.0000 0.0000
La 0.0000 1.9284 4.9470
W 1.6883 0.0000 6.7021
Br 0.0000 0.0000 10.9063
```

Results
**E above lowest polymorph**: 0.133 eV per atom
**Energy relative to the elements, uncorrected**: -88.3 meV per atom
**Calculated volume**: 114.7 Å³/cell



Entry 2:
VASP calculation (PBE-GGA) on crystalline Er5PaCo4 at its relaxed geometry.

extended XYZ file:
```
10
Lattice="7.9633 -2.1122 0.0000 7.9633 2.1122 0.0000 -2.1976 0.0000 6.5078" Properties=species:S:1:pos:R:3 pbc="T T T"
Er 0.0000 0.0000 0.0000
Er 3.1264 0.0000 6.1513
Er 4.3090 0.0000 2.8788
Er 9.4200 0.0000 3.6290
Er 10.6026 0.0000 0.3565
Pa -1.0988 0.0000 3.2539
Co 0.4920 0.0000 5.1175
Co 7.1412 0.0000 1.8629
Co 6.5878 0.0000 4.6449
Co 13.2370 0.0000 1.3902
```

Results
**E_form**: -0.27 eV per atom
**Calculated volume**: 218.9 Å³/cell



Entry 3:
VASP calculation (PBE-GGA) on crystalline NiAgHg at its relaxed geometry.

extended XYZ file:
```
3
Lattice="4.4774 0.0000 0.0000 -2.2387 3.8775 0.0000 0.0000 0.0000 2.9116" Properties=species:S:1:pos:R:3 pbc="T T T"
Ni 0.0000 0.0000 0.0000
Ag 2.2387 1.2925 0.9329
Hg 0.0000 2.5850 2.1685
```

Results
**E_form**: 0.27 eV per atom
**E above lowest polymorph**: 0.098 eV per atom
**Calculated volume**: 50.5 Å³/cell